## one
Computed, not measured: CaLaPr3 after structural relaxation at the GGA-PBE level of DFT.

POSCAR file:
```
CaLaPr3
1.0
6.247 0.000 0.000
3.123 5.410 0.000
3.123 1.803 12.099
La Pr Ca
2 6 2
Direct
0.166 0.166 0.501 La
0.834 0.834 0.499 La
0.583 0.245 0.258 Pr
0.087 0.417 0.742 Pr
0.245 0.913 0.258 Pr
0.417 0.755 0.742 Pr
0.755 0.087 0.742 Pr
0.913 0.583 0.258 Pr
0.334 0.334 0.998 Ca
0.666 0.666 0.002 Ca
```

Computed properties:
D(E_F), states/eV/cell: 14.97


## two
Computed, not measured: CaLaPr3 after structural relaxation at the GGA-PBE level of DFT.

POSCAR file:
```
CaLaPr3
1.0
-0.902 6.383 -0.076
-0.798 -4.102 4.909
11.035 1.598 3.130
Ca La Pr
2 2 6
Direct
0.657 0.343 0.500 Ca
0.343 0.657 0.500 Ca
0.136 0.864 0.000 La
0.864 0.136 0.000 La
0.653 0.347 0.196 Pr
0.000 0.000 0.682 Pr
0.653 0.347 0.804 Pr
0.347 0.653 0.804 Pr
0.000 0.000 0.318 Pr
0.347 0.653 0.196 Pr
```

Computed properties:
D(E_F), states/eV/cell: 14.54


Relative calculated energies, zero for the most stable structure, unit meV per atom: one 182; two 0.